Record 1
# TbPd6Au5

TbPd6Au5 after structural relaxation (PBE-GGA, the Alexandria database).

As for the space-group type: C2/m, No. 12. The distance to the lowest polymorph of the same formula comes out at 0 meV/atom. The calculation puts the final energy at -0.3462 Ry/atom.

Unit cell a=8.8909 b=4.2363 c=6.6062 alpha=71.30 beta=81.15 gamma=61.33
Element x y z (fractional)
Pd: 0.2511 0.2483 0.0000
Pd: 0.7466 0.0850 0.3364
Pd: 0.7489 0.7517 0.0000
Pd: 0.2534 0.9150 0.6636
Pd: 0.2534 0.5785 0.3364
Pd: 0.7466 0.4215 0.6636
Tb: 0.0000 0.0000 0.0000
Au: 0.5000 0.5000 0.0000
Au: 0.5000 0.8360 0.3280
Au: 0.0000 0.6695 0.6610
Au: 0.5000 0.1640 0.6720
Au: 0.0000 0.3305 0.3390

***

Record 2
# Tb2Pd6Au

Tb2Pd6Au after structural relaxation (PBE-GGA, the Alexandria database).

As for the space-group type: C2/m, No. 12. The distance to the lowest polymorph of the same formula comes out at 0 meV/atom. The calculation puts the final energy at -0.4051 Ry/atom.

Unit cell a=4.1367 b=6.7507 c=6.4387 alpha=107.10 beta=108.74 gamma=90.00
Element x y z (fractional)
Tb: 0.9335 0.1752 0.8670
Tb: 0.0665 0.8248 0.1330
Pd: 0.1707 0.5000 0.3414
Pd: 0.3870 0.8282 0.7740
Pd: 0.7247 0.8248 0.4495
Pd: 0.8293 0.5000 0.6586
Pd: 0.2753 0.1752 0.5505
Pd: 0.6130 0.1718 0.2260
Au: 0.5000 0.5000 0.0000

***

Record 3
# Tb2Pd6Au

Tb2Pd6Au after structural relaxation (PBE-GGA, the Alexandria database).

As for the space-group type: P-3m1, No. 164. The distance to the lowest polymorph of the same formula comes out at 29 meV/atom. The calculation puts the final energy at -0.4029 Ry/atom.

Unit cell a=6.1762 b=5.6596 c=5.6596 alpha=59.97 beta=89.95 gamma=89.95
Element x y z (fractional)
Tb: 0.1713 0.3334 0.3334
Tb: 0.8287 0.6666 0.6666
Au: 0.0000 0.0000 0.0000
Pd: 0.6731 0.1750 0.6500
Pd: 0.3272 0.8248 0.8248
Pd: 0.3269 0.8250 0.3500
Pd: 0.6728 0.1752 0.1752
Pd: 0.3269 0.3500 0.8250
Pd: 0.6731 0.6500 0.1750

***

Record 4
# Tb3Pd4Au2

Tb3Pd4Au2 after structural relaxation (PBE-GGA, the Alexandria database).

As for the space-group type: C2/c, No. 15. The calculation puts the final energy at -0.3970 Ry/atom.

Unit cell a=5.2272 b=8.5798 c=8.5798 alpha=71.60 beta=81.43 gamma=81.43
Element x y z (fractional)
Pd: 0.0329 0.8222 0.0667
Pd: 0.1403 0.5919 0.8498
Pd: 0.4671 0.9333 0.1778
Pd: 0.3597 0.1502 0.4081
Pd: 0.5329 0.0667 0.8222
Pd: 0.8597 0.4081 0.1502
Pd: 0.6403 0.8498 0.5919
Pd: 0.9671 0.1778 0.9333
Au: 0.7010 0.4898 0.7385
Au: 0.2990 0.5102 0.2615
Au: 0.7990 0.2615 0.5102
Au: 0.2010 0.7385 0.4898
Tb: 0.7500 0.6324 0.3676
Tb: 0.2500 0.3676 0.6324
Tb: 0.0869 0.9552 0.7129
Tb: 0.5869 0.7129 0.9552
Tb: 0.9131 0.0448 0.2871
Tb: 0.4131 0.2871 0.0448

***

Record 5
# TbPd3Au2

TbPd3Au2 after structural relaxation (PBE-GGA, the Alexandria database).

As for the space-group type: Cmmm, No. 65. The distance to the lowest polymorph of the same formula comes out at 0 meV/atom. The calculation puts the final energy at -0.3734 Ry/atom.

Unit cell a=3.9941 b=4.2110 c=12.7136 alpha=90.00 beta=90.00 gamma=90.00
Element x y z (fractional)
Au: 0.0000 0.5000 0.8333
Au: 0.0000 0.5000 0.1667
Au: 0.0000 0.0000 0.6667
Au: 0.0000 0.0000 0.3333
Pd: 0.5000 0.5000 0.6700
Pd: 0.5000 0.0000 0.5000
Pd: 0.5000 0.5000 0.0000
Pd: 0.5000 0.0000 0.8300
Pd: 0.5000 0.0000 0.1700
Pd: 0.5000 0.5000 0.3300
Tb: 0.0000 0.0000 0.0000
Tb: 0.0000 0.5000 0.5000

***

Record 6
# Tb6Pd2Au

Tb6Pd2Au after structural relaxation (PBE-GGA, the Alexandria database).

As for the space-group type: Immm, No. 71. The calculation puts the final energy at -0.3814 Ry/atom.

Unit cell a=8.4916 b=8.4916 c=8.4916 alpha=106.42 beta=110.16 gamma=111.88
Element x y z (fractional)
Tb: 0.8116 0.7560 0.5676
Tb: 0.8116 0.2440 0.0557
Tb: 0.1884 0.2440 0.4324
Tb: 0.2988 0.6290 0.3302
Tb: 0.7012 0.3710 0.6698
Tb: 0.7012 0.0314 0.3302
Tb: 0.5433 0.7207 0.8226
Tb: 0.2988 0.9686 0.6698
Tb: 0.1019 0.2793 0.8226
Tb: 0.1884 0.7560 0.9443
Tb: 0.8981 0.7207 0.1774
Tb: 0.4567 0.2793 0.1774
Pd: 0.5000 0.6331 0.1331
Pd: 0.3434 0.0000 0.3434
Pd: 0.5000 0.3669 0.8669
Pd: 0.6566 0.0000 0.6566
Au: 0.0000 0.0000 0.0000
Au: 0.0000 0.5000 0.5000

***

Record 7
# Tb6Pd12Au

Tb6Pd12Au after structural relaxation (PBE-GGA, the Alexandria database).

As for the space-group type: R-3, No. 148. The calculation puts the final energy at -0.4151 Ry/atom.

Unit cell a=7.2809 b=7.2809 c=7.2809 alpha=96.01 beta=96.01 gamma=96.01
Element x y z (fractional)
Pd: 0.6282 0.9521 0.8819
Pd: 0.0479 0.1181 0.3718
Pd: 0.4542 0.5038 0.2153
Pd: 0.4962 0.7847 0.5458
Pd: 0.5038 0.2153 0.4542
Pd: 0.3718 0.0479 0.1181
Pd: 0.2153 0.4542 0.5038
Pd: 0.7847 0.5458 0.4962
Pd: 0.5458 0.4962 0.7847
Pd: 0.1181 0.3718 0.0479
Pd: 0.8819 0.6282 0.9521
Pd: 0.9521 0.8819 0.6282
Tb: 0.2446 0.6894 0.8376
Tb: 0.7554 0.3106 0.1624
Tb: 0.6894 0.8376 0.2446
Tb: 0.1624 0.7554 0.3106
Tb: 0.3106 0.1624 0.7554
Tb: 0.8376 0.2446 0.6894
Au: 0.0000 0.0000 0.0000

***

Record 8
# Tb3PdAu2

Tb3PdAu2 after structural relaxation (PBE-GGA, the Alexandria database).

As for the space-group type: P4/mmm, No. 123. The calculation puts the final energy at -0.3768 Ry/atom.

Unit cell a=3.5743 b=3.5743 c=10.8355 alpha=90.00 beta=90.00 gamma=90.00
Element x y z (fractional)
Tb: 0.0000 0.0000 0.3389
Tb: 0.0000 0.0000 0.6611
Tb: 0.0000 0.0000 0.0000
Pd: 0.5000 0.5000 0.5000
Au: 0.5000 0.5000 0.8309
Au: 0.5000 0.5000 0.1691

***

ΔE_f (meV/atom)
-362 -656 -627 -822 -619 -584 -734 -853